# 1
# NaPuSiO5 PBE-GGA optimized geometry
# **Raw formation energy**: -2.616 eV/atom
# **D(E_F)**: 0.87 states/eV/atom
# **Magnetic moment**: 6.000 μB per cell
data_NaPuSiO5
_chemical_formula_sum 'Na2 Pu2 Si2 O10'
_space_group_name_H-M_alt 'P 1'
_space_group_IT_number 1
_space_group_name_Hall 'P 1'
_cell_length_a 5.7618
_cell_length_b 5.7618
_cell_length_c 7.7670
_cell_angle_alpha 104.88
_cell_angle_beta 104.88
_cell_angle_gamma 104.01
loop_
_atom_site_label
_atom_site_fract_x
_atom_site_fract_y
_atom_site_fract_z
_atom_site_occupancy
Na1 0.3370 0.6630 0.2500 1
Na2 0.6630 0.3370 0.7500 1
Pu1 0.0000 0.0000 0.5000 1
Pu2 0.0000 0.0000 0.0000 1
Si1 0.6793 0.3207 0.2500 1
Si2 0.3207 0.6793 0.7500 1
O1 0.0807 0.9193 0.2500 1
O2 0.9193 0.0807 0.7500 1
O3 0.8780 0.3111 0.1297 1
O4 0.1220 0.6889 0.8703 1
O5 0.6889 0.1220 0.3703 1
O6 0.3111 0.8780 0.6297 1
O7 0.7463 0.6117 0.3954 1
O8 0.2537 0.3883 0.6046 1
O9 0.3883 0.2537 0.1046 1
O10 0.6117 0.7463 0.8954 1



# 2
# NaPu2SiO8 PBE-GGA optimized geometry
# **Raw formation energy**: -2.401 eV/atom
# **D(E_F)**: 0.51 states/eV/atom
# **Magnetic moment**: 5.000 μB per cell
data_NaPu2SiO8
_chemical_formula_sum 'Na1 Pu2 Si1 O8'
_space_group_name_H-M_alt 'P 1'
_space_group_IT_number 1
_space_group_name_Hall 'P 1'
_cell_length_a 4.6983
_cell_length_b 4.6968
_cell_length_c 6.7191
_cell_angle_alpha 89.99
_cell_angle_beta 89.99
_cell_angle_gamma 87.87
loop_
_atom_site_label
_atom_site_fract_x
_atom_site_fract_y
_atom_site_fract_z
_atom_site_occupancy
Na1 0.0000 0.0000 0.5000 1
Pu1 0.4999 0.4999 0.7577 1
Pu2 0.5001 0.5001 0.2423 1
Si1 0.0000 0.0000 0.0000 1
O1 0.1882 0.8108 0.1965 1
O2 0.7222 0.7232 0.0000 1
O3 0.8117 0.1891 0.1965 1
O4 0.8118 0.1892 0.8035 1
O5 0.2778 0.2768 0.0000 1
O6 0.1883 0.8109 0.8035 1
O7 0.6773 0.6785 0.5001 1
O8 0.3227 0.3215 0.4999 1



# 3
# NaPuSi2O8 PBE-GGA optimized geometry
# **Raw formation energy**: -2.182 eV/atom
# **D(E_F)**: 0.53 states/eV/atom
# **Magnetic moment**: 0.998 μB per cell
data_NaPuSi2O8
_chemical_formula_sum 'Na1 Pu1 Si2 O8'
_space_group_name_H-M_alt 'P 1'
_space_group_IT_number 1
_space_group_name_Hall 'P 1'
_cell_length_a 5.7529
_cell_length_b 5.7529
_cell_length_c 5.7529
_cell_angle_alpha 106.48
_cell_angle_beta 106.48
_cell_angle_gamma 115.63
loop_
_atom_site_label
_atom_site_fract_x
_atom_site_fract_y
_atom_site_fract_z
_atom_site_occupancy
Na1 0.0000 0.0000 0.0000 1
Pu1 0.2500 0.7500 0.5000 1
Si1 0.7500 0.2500 0.5000 1
Si2 0.5000 0.5000 0.0000 1
O1 0.3942 0.0701 0.3241 1
O2 0.3414 0.5352 0.1938 1
O3 0.3414 0.1475 0.8062 1
O4 0.7459 0.0701 0.6759 1
O5 0.8525 0.6586 0.1938 1
O6 0.9299 0.2541 0.3241 1
O7 0.9299 0.6058 0.6759 1
O8 0.4648 0.6586 0.8062 1



# 4
# NaPuSiO6 PBE-GGA optimized geometry
# **Raw formation energy**: -2.202 eV/atom
# **Magnetic moment**: 1.000 μB per cell
data_NaPuSiO6
_chemical_formula_sum 'Na1 Pu1 Si1 O6'
_space_group_name_H-M_alt 'P 1'
_space_group_IT_number 1
_space_group_name_Hall 'P 1'
_cell_length_a 5.1001
_cell_length_b 5.1001
_cell_length_c 5.2222
_cell_angle_alpha 90.00
_cell_angle_beta 90.00
_cell_angle_gamma 60.00
loop_
_atom_site_label
_atom_site_fract_x
_atom_site_fract_y
_atom_site_fract_z
_atom_site_occupancy
Na1 0.0000 0.0000 0.0000 1
Pu1 0.6666 0.6667 0.5000 1
Si1 0.3333 0.3333 0.5000 1
O1 0.0313 0.3514 0.3034 1
O2 0.3514 0.0314 0.6966 1
O3 0.6172 0.3514 0.6966 1
O4 0.0313 0.6172 0.6966 1
O5 0.3514 0.6172 0.3034 1
O6 0.6172 0.0314 0.3034 1



# 5
# Na2Sm2PuO6 PBE-GGA optimized geometry
# **Raw formation energy**: -2.725 eV/atom
# **D(E_F)**: 0.18 states/eV/atom
# **Magnetic moment**: 4.000 μB per cell
data_Na2Sm2PuO6
_chemical_formula_sum 'Na2 Sm2 Pu1 O6'
_space_group_name_H-M_alt 'P 1'
_space_group_IT_number 1
_space_group_name_Hall 'P 1'
_cell_length_a 6.1172
_cell_length_b 6.1172
_cell_length_c 5.9349
_cell_angle_alpha 98.98
_cell_angle_beta 98.98
_cell_angle_gamma 119.98
loop_
_atom_site_label
_atom_site_fract_x
_atom_site_fract_y
_atom_site_fract_z
_atom_site_occupancy
Na1 0.8374 0.1626 0.0000 1
Na2 0.1626 0.8374 0.0000 1
Sm1 0.3349 0.6651 0.5000 1
Sm2 0.6651 0.3349 0.5000 1
Pu1 0.0000 0.0000 0.5000 1
O1 0.7568 0.7568 0.6997 1
O2 0.0485 0.3812 0.6996 1
O3 0.2432 0.2432 0.3003 1
O4 0.3812 0.0485 0.6996 1
O5 0.9515 0.6188 0.3004 1
O6 0.6188 0.9515 0.3004 1



# 6
# Na4Sm3PuO8 PBE-GGA optimized geometry
# **Raw formation energy**: -2.592 eV/atom
# **D(E_F)**: 0.35 states/eV/atom
# **Magnetic moment**: 5.000 μB per cell
data_Na4Sm3PuO8
_chemical_formula_sum 'Na4 Sm3 Pu1 O8'
_space_group_name_H-M_alt 'P 1'
_space_group_IT_number 1
_space_group_name_Hall 'P 1'
_cell_length_a 7.0591
_cell_length_b 6.9507
_cell_length_c 7.0577
_cell_angle_alpha 120.54
_cell_angle_beta 120.01
_cell_angle_gamma 90.00
loop_
_atom_site_label
_atom_site_fract_x
_atom_site_fract_y
_atom_site_fract_z
_atom_site_occupancy
Na1 0.5000 0.0000 0.0000 1
Na2 0.5000 0.0000 0.5000 1
Na3 0.0000 0.0000 0.0000 1
Na4 0.0000 0.0000 0.5000 1
Sm1 0.5000 0.5000 0.0000 1
Sm2 0.5000 0.5000 0.5000 1
Sm3 0.0000 0.5000 0.5000 1
Pu1 0.0000 0.5000 0.0000 1
O1 0.2376 0.7152 0.9779 1
O2 0.2376 0.7152 0.4752 1
O3 0.2616 0.2851 0.5232 1
O4 0.7403 0.7152 0.9779 1
O5 0.2597 0.2848 0.0221 1
O6 0.7384 0.7149 0.4768 1
O7 0.7624 0.2848 0.5248 1
O8 0.7624 0.2848 0.0221 1



# 7
# NaSmPu2O8 PBE-GGA optimized geometry
# **Raw formation energy**: -2.217 eV/atom
# **D(E_F)**: 1.32 states/eV/atom
# **Magnetic moment**: 3.998 μB per cell
data_NaSmPu2O8
_chemical_formula_sum 'Na1 Sm1 Pu2 O8'
_space_group_name_H-M_alt 'P 1'
_space_group_IT_number 1
_space_group_name_Hall 'P 1'
_cell_length_a 6.4469
_cell_length_b 6.4469
_cell_length_c 6.4469
_cell_angle_alpha 108.65
_cell_angle_beta 108.65
_cell_angle_gamma 111.13
loop_
_atom_site_label
_atom_site_fract_x
_atom_site_fract_y
_atom_site_fract_z
_atom_site_occupancy
Na1 0.2500 0.7500 0.5000 1
Sm1 0.0000 0.0000 0.0000 1
Pu1 0.7500 0.2500 0.5000 1
Pu2 0.5000 0.5000 0.0000 1
O1 0.3744 0.0656 0.3088 1
O2 0.2970 0.4660 0.1690 1
O3 0.2970 0.1280 0.8310 1
O4 0.7568 0.0656 0.6912 1
O5 0.8720 0.7030 0.1690 1
O6 0.9344 0.2432 0.3088 1
O7 0.9344 0.6256 0.6912 1
O8 0.5340 0.7030 0.8310 1



# 8
# Na2SmPuO6 PBE-GGA optimized geometry
# **Raw formation energy**: -2.486 eV/atom
# **Magnetic moment**: 2.000 μB per cell
data_Na2SmPuO6
_chemical_formula_sum 'Na4 Sm2 Pu2 O12'
_space_group_name_H-M_alt 'P 1'
_space_group_IT_number 1
_space_group_name_Hall 'P 1'
_cell_length_a 5.7957
_cell_length_b 5.9658
_cell_length_c 8.3306
_cell_angle_alpha 90.00
_cell_angle_beta 90.09
_cell_angle_gamma 90.00
loop_
_atom_site_label
_atom_site_fract_x
_atom_site_fract_y
_atom_site_fract_z
_atom_site_occupancy
Na1 0.0076 0.9610 0.2530 1
Na2 0.5076 0.5390 0.7530 1
Na3 0.9924 0.0390 0.7470 1
Na4 0.4924 0.4610 0.2470 1
Sm1 0.5000 0.0000 0.0000 1
Sm2 0.0000 0.5000 0.5000 1
Pu1 0.5000 0.0000 0.5000 1
Pu2 0.0000 0.5000 0.0000 1
O1 0.2847 0.6807 0.0490 1
O2 0.7847 0.8193 0.5490 1
O3 0.7153 0.3193 0.9510 1
O4 0.2153 0.1807 0.4510 1
O5 0.3247 0.7182 0.4417 1
O6 0.8247 0.7818 0.9417 1
O7 0.6753 0.2818 0.5583 1
O8 0.1753 0.2182 0.0583 1
O9 0.8984 0.5407 0.2307 1
O10 0.3984 0.9593 0.7307 1
O11 0.1016 0.4593 0.7693 1
O12 0.6016 0.0407 0.2693 1



Look up the raw formation energy of the fifth one.
-2.725 eV/atom



Which formula does entry 1 have?
NaPuSiO5



Which of these has the highest raw formation energy?
NaPuSi2O8



Copy entry 2 word for word.
# NaPu2SiO8 PBE-GGA optimized geometry
# **Raw formation energy**: -2.401 eV/atom
# **D(E_F)**: 0.51 states/eV/atom
# **Magnetic moment**: 5.000 μB per cell
data_NaPu2SiO8
_chemical_formula_sum 'Na1 Pu2 Si1 O8'
_space_group_name_H-M_alt 'P 1'
_space_group_IT_number 1
_space_group_name_Hall 'P 1'
_cell_length_a 4.6983
_cell_length_b 4.6968
_cell_length_c 6.7191
_cell_angle_alpha 89.99
_cell_angle_beta 89.99
_cell_angle_gamma 87.87
loop_
_atom_site_label
_atom_site_fract_x
_atom_site_fract_y
_atom_site_fract_z
_atom_site_occupancy
Na1 0.0000 0.0000 0.5000 1
Pu1 0.4999 0.4999 0.7577 1
Pu2 0.5001 0.5001 0.2423 1
Si1 0.0000 0.0000 0.0000 1
O1 0.1882 0.8108 0.1965 1
O2 0.7222 0.7232 0.0000 1
O3 0.8117 0.1891 0.1965 1
O4 0.8118 0.1892 0.8035 1
O5 0.2778 0.2768 0.0000 1
O6 0.1883 0.8109 0.8035 1
O7 0.6773 0.6785 0.5001 1
O8 0.3227 0.3215 0.4999 1